Crystalline CrInF5 at its relaxed geometry. Source: Alexandria, functional PBE+U.

The structure belongs to space group Immm (No. 71); the cell edges are 4.087, 6.710 and 8.150 Å and the angles 90.00°, 90.00° and 90.00°. The distinct sites, in fractional coordinates, are Cr at (0.000, 0.000, 0.000), In at (0.000, 0.000, 0.500), F at (0.000, 0.000, 0.242), F at (0.000, 0.312, 0.500) and F at (0.000, 0.500, 0.000).

The value obtained for the final energy is -73.9 eV/cell. For the density, the calculation gives 3.9 g/cm³.